A plane-wave DFT calculation with PBE was carried out for an optimized crystal structure of CrGa3Se. Values from VASP.

Output
Its polymorph energy (0 for the lowest one) is 411 meV/atom. The uncorrected formation energy comes out at 0.788 eV per atom. The value obtained for the magnetic moment is 0.924 μB/atom.

```
&SYSTEM
  ibrav = 0, nat = 5, ntyp = 3
/
ATOMIC_SPECIES
Ga 69.72 Ga.upf
Cr 52.00 Cr.upf
Se 78.96 Se.upf
CELL_PARAMETERS angstrom
-0.3554 1.9585 4.6884
-4.2538 -2.6852 0.7993
2.7790 -3.8597 1.8230
ATOMIC_POSITIONS crystal
Ga 0.0000 0.5000 0.0000
Cr 0.5000 0.5000 0.5000
Ga 0.5000 0.0000 0.0000
Se 0.0000 0.0000 0.0000
Ga 0.0000 0.0000 0.5000
```